[1]
{
  "formula": "Tl2CdNi",
  "functional": "GGA-PBE",
  "state": "optimized geometry",
  "de_polymorph_ev_per_fu": 1.03,
  "cell": [[-2.249, 2.249, 9.528], [2.249, -2.249, 9.528], [2.249, 2.249, -9.528]],
  "species": ["Tl", "Tl", "Tl", "Tl", "Cd", "Cd", "Ni", "Ni"],
  "frac_coords": [[0.097, 0.625, 0.972], [0.375, 0.347, 0.472], [0.653, 0.125, 0.028], [0.875, 0.903, 0.528], [0.250, 0.750, 0.500], [0.500, 0.500, 0.000], [0.000, 0.000, 0.000], [0.750, 0.250, 0.500]]
}



[2]
{
  "formula": "Tl2CdNi",
  "functional": "GGA-PBE",
  "state": "optimized geometry",
  "de_polymorph_ev_per_fu": 0.00,
  "cell": [[-1.543, 2.246, 6.875], [1.543, -2.246, 6.875], [1.543, 2.246, -6.875]],
  "species": ["Tl", "Tl", "Cd", "Ni"],
  "frac_coords": [[0.173, 0.173, 0.000], [0.827, 0.827, 0.000], [0.500, 0.000, 0.500], [0.000, 0.500, 0.500]]
}



[3]
{
  "formula": "Tl4Cd2Ni",
  "functional": "GGA-PBE",
  "state": "optimized geometry",
  "cell": [[-2.561, 2.561, 7.915], [2.561, -2.561, 7.915], [2.561, 2.561, -7.915]],
  "species": ["Tl", "Tl", "Tl", "Tl", "Cd", "Cd", "Ni"],
  "frac_coords": [[0.000, 0.500, 0.500], [0.169, 0.169, 0.000], [0.500, 0.000, 0.500], [0.831, 0.831, 0.000], [0.359, 0.359, 0.000], [0.641, 0.641, 0.000], [0.000, 0.000, 0.000]]
}



[4]
{
  "formula": "Tl2CdNi",
  "functional": "GGA-PBE",
  "state": "optimized geometry",
  "de_polymorph_ev_per_fu": 0.87,
  "cell": [[-2.188, 2.188, 4.608], [2.188, -2.188, 4.608], [2.188, 2.188, -4.608]],
  "species": ["Tl", "Tl", "Cd", "Ni"],
  "frac_coords": [[0.000, 0.000, 0.000], [0.750, 0.250, 0.500], [0.250, 0.750, 0.500], [0.500, 0.500, 0.000]]
}



[5]
{
  "formula": "TlCdNi",
  "functional": "GGA-PBE",
  "state": "optimized geometry",
  "de_polymorph_ev_per_fu": 0.37,
  "cell": [[-1.590, 1.590, 5.879], [1.590, -1.590, 5.879], [1.590, 1.590, -5.879]],
  "species": ["Tl", "Cd", "Ni"],
  "frac_coords": [[0.000, 0.000, 0.000], [0.281, 0.281, 0.000], [0.650, 0.650, 0.000]]
}



[6]
{
  "formula": "Tl4CdNi",
  "functional": "GGA-PBE",
  "state": "optimized geometry",
  "cell": [[0.000, 4.456, 4.456], [4.456, 0.000, 4.456], [4.456, 4.456, 0.000]],
  "species": ["Tl", "Tl", "Tl", "Tl", "Cd", "Ni"],
  "frac_coords": [[0.125, 0.125, 0.125], [0.125, 0.125, 0.624], [0.125, 0.624, 0.125], [0.624, 0.125, 0.125], [0.750, 0.750, 0.750], [0.500, 0.500, 0.500]]
}



Number 1: energy relative to the elements 0.404 eV/atom, calculated volume 24.1 Å³ per atom. Number 2: energy relative to the elements 0.147 eV/atom, calculated volume 23.8 Å³ per atom. Number 3: energy relative to the elements 0.169 eV/atom, calculated volume 29.7 Å³ per atom. Number 4: energy relative to the elements 0.366 eV/atom, calculated volume 22.1 Å³ per atom. Number 5: energy relative to the elements 0.210 eV/atom, calculated volume 19.8 Å³ per atom. Number 6: energy relative to the elements 0.593 eV/atom, calculated volume 29.5 Å³ per atom.